# 1
Crystalline Th2Te at its relaxed geometry, computed with GGA-PBE.

- Space-group type: Fmmm (69)
- E_form (uncorrected): -499 meV per atom
- Crystal system: orthorhombic

POSCAR file:
```
Th2Te
1.0
3.8235 -0.0060 0.0066
-0.0060 3.8235 0.0066
-1.9151 -1.9151 6.5229
Te Th
1 2
direct
0.5000 0.5000 0.0000
0.1476 0.1476 0.2959
0.8524 0.8524 0.7041
```



# 2
Crystalline LiCuPO4 at its relaxed geometry, computed with GGA-PBE.

- Polymorph energy (0 for the lowest one): 0.221 eV/f.u.
- Space-group type: Fdd2 (43)
- E_form (uncorrected): -1775 meV per atom
- Crystal system: orthorhombic

POSCAR file:
```
LiCuPO4
1.0
-5.4611 -2.0028 -4.4369
-3.0522 -5.2858 -0.5902
-5.3503 1.5657 0.5487
Li Cu P O
2 2 2 8
direct
0.8168 0.1832 0.8168
0.0668 0.4332 0.0668
0.7193 0.7807 0.7193
0.4693 0.5307 0.4693
0.1170 0.8830 0.1170
0.3670 0.1330 0.3670
0.4013 0.2643 0.5300
0.5300 0.8045 0.4013
0.4455 0.7200 0.9857
0.9857 0.8487 0.4455
0.5154 0.1318 0.0255
0.9226 0.2245 0.1182
0.1182 0.7346 0.9226
0.0255 0.3274 0.5154
```



# 3
Crystalline NaMgAl2Au4 at its relaxed geometry, computed with GGA-PBE.

- Space-group type: R-3m (166)
- Uncorrected energy: -3.329 eV per atom
- Crystal system: trigonal

POSCAR file:
```
NaMgAl2Au4
1.0
-1.1646 2.8302 3.4322
-4.4247 0.5511 1.1249
-1.3212 -4.6922 6.5015
Na Mg Al Au
1 1 2 4
direct
0.0000 0.0000 0.0000
0.5000 0.5000 0.5000
0.7487 0.7487 0.7540
0.2513 0.2513 0.2460
0.3819 0.3819 0.8543
0.8719 0.8719 0.3842
0.1281 0.1281 0.6158
0.6181 0.6181 0.1457
```



# 4
Crystalline SrInO3 at its relaxed geometry, computed with GGA-PBE.

- Space-group type: Pm-3m (221)
- E_form (uncorrected): -488 meV per atom
- Crystal system: cubic

POSCAR file:
```
SrInO3
1.0
4.5566 0.0000 0.0000
0.0000 4.5566 0.0000
0.0000 0.0000 4.5566
Sr O In
1 3 1
direct
0.0000 0.0000 0.0000
0.0000 0.5000 0.0000
0.0000 0.0000 0.5000
0.5000 0.0000 0.0000
0.5000 0.5000 0.5000
```



# 5
Crystalline AlGeCl2 at its relaxed geometry, computed with GGA-PBE.

- Polymorph energy (0 for the lowest one): 0.000 eV/f.u.
- Space-group type: Fm-3m (225)
- E_form (uncorrected): -4 meV per atom
- Crystal system: cubic

POSCAR file:
```
AlGeCl2
1.0
2.0456 3.4661 2.9064
-2.6932 2.1465 3.5756
0.9530 -1.0048 4.7674
Ge Al Cl
1 1 2
direct
0.5000 0.5000 0.5000
0.0000 0.0000 0.0000
0.2500 0.2500 0.2500
0.7500 0.7500 0.7500
```



# 6
Crystalline ReSiSe2 at its relaxed geometry, computed with GGA-PBE.

- Space-group type: Pm (6)
- E_form (uncorrected): 90 meV per atom
- Crystal system: monoclinic

POSCAR file:
```
ReSiSe2
1.0
-3.3755 1.7270 0.3215
-0.6546 -1.7346 2.4452
2.7233 4.2492 5.7664
Re Se Si
1 2 1
direct
0.5000 0.9869 0.6500
0.0000 0.8527 0.9051
0.5000 0.1555 0.3296
0.0000 0.5050 0.6153
```



# 7
Crystalline Cs2MgAg2I6 at its relaxed geometry, computed with GGA-PBE.

- Space-group type: C2/m (12)
- E_form (uncorrected): -900 meV per atom
- Crystal system: monoclinic

POSCAR file:
```
Cs2MgAg2I6
1.0
8.5607 0.0000 0.0000
-4.2804 7.5813 -0.0168
0.0000 -4.3621 7.6539
Cs Mg Ag I
2 1 2 6
direct
0.7251 0.4502 0.2038
0.2749 0.5498 0.7962
0.5000 0.0000 0.5000
0.9282 0.8565 0.7267
0.0718 0.1435 0.2733
0.7295 0.4590 0.6540
0.2289 0.9211 0.2282
0.3078 0.0789 0.7718
0.7711 0.0789 0.7718
0.6922 0.9211 0.2282
0.2705 0.5410 0.3460
```



# 8
Crystalline Y3NiAu at its relaxed geometry, computed with GGA-PBE.

- Polymorph energy (0 for the lowest one): 0.000 eV/f.u.
- Space-group type: C2/m (12)
- Crystal system: monoclinic

POSCAR file:
```
Y3NiAu
1.0
5.5754 -0.1447 2.1832
1.9177 5.2372 2.1832
0.0523 0.0356 8.3846
Y Ni Au
6 2 2
direct
0.3207 0.3207 0.8614
0.6793 0.6793 0.1386
0.0224 0.0224 0.7739
0.9776 0.9776 0.2261
0.7094 0.7094 0.6708
0.2906 0.2906 0.3292
0.3110 0.6890 0.0000
0.6890 0.3110 0.0000
0.7225 0.2775 0.5000
0.2775 0.7225 0.5000
```



# 9
Crystalline Pr2ZrAs3 at its relaxed geometry, computed with GGA-PBE.

- Space-group type: I4/mmm (139)
- Uncorrected energy: -6.632 eV per atom
- Crystal system: tetragonal

POSCAR file:
```
Pr2ZrAs3
1.0
8.7423 -2.0724 -2.2146
8.2856 -1.8737 3.6696
-9.1841 -0.9021 -0.6824
Pr Zr As
2 1 3
direct
0.6664 0.6664 0.0000
0.3336 0.3336 0.0000
0.0000 0.0000 0.0000
0.5000 0.5000 0.0000
0.8418 0.8418 0.0000
0.1582 0.1582 0.0000
```



# 10
Crystalline RbPuBr2F at its relaxed geometry, computed with GGA-PBE.

- Space-group type: P4/mmm (123)
- E_form (uncorrected): -2000 meV per atom
- Crystal system: tetragonal

POSCAR file:
```
RbPuBr2F
1.0
-1.0278 3.1534 -7.8300
-3.4953 -7.3388 -2.4968
-1.9442 3.6892 6.3584
Rb Pu Br F
2 2 4 2
direct
0.7498 0.2498 0.4995
0.2498 0.7498 0.4995
0.0000 0.0000 0.0001
0.5000 0.5000 0.0001
0.2504 0.7504 0.0004
0.7504 0.7500 0.0004
0.7500 0.2500 0.0004
0.2500 0.2504 0.0004
0.7500 0.7500 0.5001
0.2500 0.2500 0.5001
```



# 11
Crystalline Ru3Rh at its relaxed geometry, computed with GGA-PBE.

- Space-group type: P4/mmm (123)
- Uncorrected energy: -8.708 eV per atom
- Crystal system: tetragonal

POSCAR file:
```
Ru3Rh
1.0
-1.3113 -0.9538 -2.1606
2.2203 -1.3406 -0.7556
-2.2888 -6.0882 4.0767
Ru Rh
3 1
direct
0.0000 0.0000 0.5000
0.5000 0.5000 0.2526
0.5000 0.5000 0.7474
0.0000 0.0000 0.0000
```



# 12
Crystalline TaSb5 at its relaxed geometry, computed with GGA-PBE.

- Polymorph energy (0 for the lowest one): 4.885 eV/f.u.
- Space-group type: P6/mmm (191)
- E_form (uncorrected): 962 meV per atom
- Crystal system: hexagonal

POSCAR file:
```
TaSb5
1.0
2.9073 -5.0355 0.0000
2.9073 5.0355 0.0000
0.0000 0.0000 5.8637
Ta Sb
1 5
direct
0.0000 0.0000 0.0000
0.3333 0.6667 0.0000
0.6667 0.3333 0.0000
0.5000 0.0000 0.5000
0.0000 0.5000 0.5000
0.5000 0.5000 0.5000
```



# 13
Crystalline PmPr5Ir3 at its relaxed geometry, computed with GGA-PBE.

- Space-group type: C2/m (12)
- Uncorrected energy: -6.613 eV per atom
- Crystal system: monoclinic

POSCAR file:
```
PmPr5Ir3
1.0
-1.8811 -4.1049 -6.6398
2.1372 -7.6249 1.3297
-8.6460 -5.5923 1.8894
Pm Pr Ir
2 10 6
direct
0.0985 0.0985 0.7033
0.9015 0.9015 0.2967
0.9712 0.3649 0.3354
0.3022 0.6978 0.0000
0.7674 0.7674 0.0368
0.4374 0.4374 0.3666
0.5626 0.5626 0.6334
0.2326 0.2326 0.9632
0.3649 0.9712 0.3354
0.6978 0.3022 0.0000
0.0288 0.6351 0.6646
0.6351 0.0288 0.6646
0.6662 0.6662 0.8336
0.6701 0.6701 0.3358
0.0000 0.0000 0.0000
0.0000 0.0000 0.5000
0.3338 0.3338 0.1664
0.3299 0.3299 0.6642
```



# 14
Crystalline Sc3Be2 at its relaxed geometry, computed with GGA-PBE.

- Polymorph energy (0 for the lowest one): 0.000 eV/f.u.
- Space-group type: P-3m1 (164)
- Crystal system: trigonal

POSCAR file:
```
Sc3Be2
1.0
2.1990 -3.8088 0.0000
2.1990 3.8088 0.0000
0.0000 0.0000 5.5246
Sc Be
3 2
direct
0.0000 0.0000 0.0000
0.6667 0.3333 0.6526
0.3333 0.6667 0.3474
0.6667 0.3333 0.1345
0.3333 0.6667 0.8655
```



# 15
Crystalline AcPm2SmEr4 at its relaxed geometry, computed with GGA-PBE.

- Space-group type: C2/c (15)
- Uncorrected energy: -4.139 eV per atom
- Crystal system: monoclinic

POSCAR file:
```
AcPm2SmEr4
1.0
-9.4136 -1.8944 0.7428
1.7874 -8.8433 3.3701
5.7266 10.1777 2.5046
Ac Pm Sm Er
2 4 2 8
direct
0.0000 0.5000 0.0000
0.0000 0.5000 0.5000
0.5000 0.0000 0.0000
0.5000 0.0000 0.5000
0.0000 0.0000 0.5000
0.5000 0.5000 0.0000
0.5000 0.5000 0.5000
0.0000 0.0000 0.0000
0.2619 0.7632 0.0126
0.7368 0.2381 0.4874
0.2632 0.7619 0.5126
0.7381 0.2368 0.9874
0.7425 0.7590 0.0000
0.7410 0.7575 0.5000
0.2590 0.2426 0.5000
0.2574 0.2410 0.0000
```



# 16
Crystalline TmAl3Ir at its relaxed geometry, computed with GGA-PBE.

- Space-group type: P2_1/m (11)
- Uncorrected energy: -5.613 eV per atom
- Crystal system: monoclinic

POSCAR file:
```
TmAl3Ir
1.0
-2.1713 0.9229 -3.3476
-5.7204 -0.2395 3.6443
-0.9631 6.4664 2.4075
Tm Al Ir
2 6 2
direct
0.3809 0.5382 0.2302
0.8810 0.1366 0.5757
0.8810 0.6721 0.5018
0.3810 0.0025 0.3044
0.8810 0.6842 0.8853
0.8810 0.2578 0.0539
0.3810 0.4169 0.7521
0.3810 0.9907 0.9207
0.3810 0.7968 0.6629
0.8810 0.8779 0.1432
```



# 17
Crystalline AcTb5Y2Er at its relaxed geometry, computed with GGA-PBE.

- Space-group type: Cmc2_1 (36)
- Uncorrected energy: -4.823 eV per atom
- Crystal system: orthorhombic

POSCAR file:
```
AcTb5Y2Er
1.0
-0.1408 0.6848 -5.4810
5.4165 -11.0271 1.2682
-8.3349 -4.1288 -0.3018
Ac Tb Y Er
2 10 4 2
direct
0.6022 0.2044 0.9303
0.3978 0.7956 0.4303
0.3961 0.7922 0.0270
0.7427 0.4854 0.8711
0.4766 0.9532 0.7474
0.3072 0.6144 0.7267
0.0090 0.0179 0.5217
0.6039 0.2078 0.5270
0.2573 0.5146 0.3711
0.5234 0.0468 0.2474
0.6928 0.3856 0.2267
0.9910 0.9821 0.0217
0.8868 0.7737 0.7749
0.1701 0.3402 0.6828
0.1132 0.2263 0.2749
0.8299 0.6598 0.1828
0.7578 0.5156 0.5420
0.2422 0.4844 0.0420
```



# 18
Crystalline CsPrHgF6 at its relaxed geometry, computed with GGA-PBE.

- Space-group type: Imma (74)
- E_form (uncorrected): -2849 meV per atom
- Crystal system: orthorhombic

POSCAR file:
```
CsPrHgF6
1.0
8.7647 0.0000 0.0000
0.0000 8.2224 0.0000
-4.3824 -4.1112 6.2173
Cs Pr Hg F
2 2 2 12
direct
0.8035 0.5535 0.6070
0.1965 0.4465 0.3930
0.5000 0.0000 0.5000
0.0000 0.0000 0.5000
0.5000 0.5000 0.0000
0.5000 0.0000 0.0000
0.4291 0.6791 0.8582
0.8145 0.0645 0.6290
0.8253 0.0979 0.2730
0.4477 0.6751 0.2730
0.4477 0.0979 0.2730
0.8253 0.6751 0.2730
0.5709 0.3209 0.1418
0.1855 0.9355 0.3710
0.1747 0.9021 0.7270
0.5523 0.3249 0.7270
0.5523 0.9021 0.7270
0.1747 0.3249 0.7270
```



# 19
Crystalline La2Tb6Pr3Sm at its relaxed geometry, computed with GGA-PBE.

- Space-group type: C2/m (12)
- Uncorrected energy: -4.713 eV per atom
- Crystal system: monoclinic

POSCAR file:
```
La2Tb6Pr3Sm
1.0
-4.3172 -1.1358 4.4766
-1.0266 -1.9068 -5.9396
6.9691 -9.2590 2.8869
La Tb Pr Sm
2 6 3 1
direct
0.3335 0.6665 0.0000
0.6665 0.3335 0.0000
0.9166 0.5840 0.7498
0.7509 0.7509 0.2503
0.0834 0.4160 0.2502
0.5840 0.9166 0.7498
0.2491 0.2491 0.7497
0.4160 0.0834 0.2502
0.1666 0.8334 0.5000
0.8334 0.1666 0.5000
0.5000 0.5000 0.5000
0.0000 0.0000 0.0000
```



# 20
Crystalline Np2ScTiAs4 at its relaxed geometry, computed with GGA-PBE.

- Space-group type: P2/m (10)
- Uncorrected energy: -8.217 eV per atom
- Crystal system: monoclinic

POSCAR file:
```
Np2ScTiAs4
1.0
3.9236 0.0000 0.0000
0.0000 6.8510 0.1386
0.0000 -2.3744 6.3513
Np Sc Ti As
2 1 1 4
direct
0.5000 0.0000 0.5000
0.0000 0.5000 0.5000
0.5000 0.5000 0.0000
0.0000 0.0000 0.0000
0.5000 0.2360 0.2258
0.5000 0.7640 0.7742
0.0000 0.2502 0.7708
0.0000 0.7498 0.2292
```